#P
Density functional theory data (PBE) for a relaxed Sc3Au4 crystal.

a = 3.5988 Å, b = 3.5988 Å, c = 21.2682 Å
α = 90.00°, β = 90.00°, γ = 90.00°
Closest atoms and distances in Å follow each position.
Space group I4/mmm (No. 139)
Symmetry-distinct sites (fractional):
Sc  0.0000  0.0000  0.0000 x2  10 Au 2.92-3.08
Sc  0.0000  0.0000  0.2975 x4  5 Au 2.82-2.88
Au  0.0000  0.0000  0.1448 x4  5 Sc 2.82-3.08, 4 Au 3.04
Au  0.0000  0.0000  0.4331 x4  5 Au 2.85-3.04, 5 Sc 2.88-2.92

Results
Density in g/cm3: 11.125

---

#Q
Density functional theory data (PBE) for a relaxed Sc3Au4 crystal.

a = 4.7065 Å, b = 4.7065 Å, c = 23.4333 Å
α = 90.00°, β = 90.00°, γ = 120.00°
Closest atoms and distances in Å follow each position.
Space group R-3m (No. 166, hexagonal axes)
Symmetry-distinct sites (fractional):
Sc  0.0000  0.0000  0.0000 x3  8 Au 2.83-2.87
Sc  0.0000  0.0000  0.2432 x6  8 Au 2.82-3.02
Au  0.0000  0.0000  0.1226 x6  5 Sc 2.82-2.87
Au  0.0000  0.0000  0.3676 x6  7 Sc 2.83-3.02, 3 Au 3.16

Results
Density in g/cm3: 10.226

---

#R
Density functional theory data (PBE) for a relaxed Sc3Au4 crystal.

a = 5.7925 Å, b = 5.7925 Å, c = 5.0461 Å
α = 90.00°, β = 90.00°, γ = 120.00°
Closest atoms and distances in Å follow each position.
Space group P6/mmm (No. 191)
Symmetry-distinct sites (fractional):
Sc  0.0000  0.5000  0.0000 x3  4 Sc 2.90, 8 Au 3.03-3.16
Au  0.0000  0.0000  0.2527 x2  2 Au 2.50-2.55
Au  0.3333  0.6667  0.5000 x2  6 Sc 3.03, 3 Au 3.34

Results
Density in g/cm3: 10.450

---

Which of them is the least stable? Correct choice: #R.

---

#P
Density functional theory data (PBE) for a relaxed ScAu3Se crystal.

a = 5.1282 Å, b = 5.1282 Å, c = 5.1282 Å
α = 90.00°, β = 90.00°, γ = 90.00°
Closest atoms and distances in Å follow each position.
Space group Pm-3m (No. 221)
Symmetry-distinct sites (fractional):
Sc  0.0000  0.0000  0.0000 x1  6 Au 2.56
Au  0.0000  0.0000  0.5000 x3  2 Sc 2.56
Se  0.5000  0.5000  0.5000 x1  12 Au 3.63

Results
Density in g/cm3: 8.801

---

#Q
Density functional theory data (PBE) for a relaxed ScAu3Se crystal.

a = 4.9607 Å, b = 4.9607 Å, c = 4.9607 Å
α = 90.00°, β = 90.00°, γ = 90.00°
Closest atoms and distances in Å follow each position.
Space group Pm-3m (No. 221)
Symmetry-distinct sites (fractional):
Sc  0.0000  0.0000  0.0000 x1  12 Au 3.51
Au  0.0000  0.5000  0.5000 x3  2 Se 2.48
Se  0.5000  0.5000  0.5000 x1  6 Au 2.48

Results
Density in g/cm3: 9.723

---

Which of them is the least stable? Correct choice: #P.

---

#P
Density functional theory data (PBE) for a relaxed ScSi3Au crystal.

a = 4.8534 Å, b = 4.8534 Å, c = 4.8534 Å
α = 90.00°, β = 90.00°, γ = 90.00°
Closest atoms and distances in Å follow each position.
Space group Pm-3m (No. 221)
Symmetry-distinct sites (fractional):
Sc  0.0000  0.0000  0.0000 x1  12 Si 3.43
Si  0.0000  0.5000  0.5000 x3  2 Au 2.43
Au  0.5000  0.5000  0.5000 x1  6 Si 2.43

Results
Density in g/cm3: 4.738

---

#Q
Density functional theory data (PBE) for a relaxed ScSi3Au crystal.

a = 4.9991 Å, b = 4.9991 Å, c = 4.9991 Å
α = 90.00°, β = 90.00°, γ = 90.00°
Closest atoms and distances in Å follow each position.
Space group Pm-3m (No. 221)
Symmetry-distinct sites (fractional):
Sc  0.0000  0.0000  0.0000 x1  6 Si 2.50
Si  0.0000  0.0000  0.5000 x3  2 Sc 2.50
Au  0.5000  0.5000  0.5000 x1  12 Si 3.53

Results
Density in g/cm3: 4.335

---

Which of them is the least stable? Correct choice: #Q.

---

#P
Density functional theory data (PBE) for a relaxed ScSiAu3 crystal.

a = 4.7396 Å, b = 4.7396 Å, c = 4.7396 Å
α = 90.00°, β = 90.00°, γ = 90.00°
Closest atoms and distances in Å follow each position.
Space group Pm-3m (No. 221)
Symmetry-distinct sites (fractional):
Sc  0.0000  0.0000  0.0000 x1  12 Au 3.35
Si  0.5000  0.5000  0.5000 x1  6 Au 2.37
Au  0.0000  0.5000  0.5000 x3  2 Si 2.37

Results
Density in g/cm3: 10.355

---

#Q
Density functional theory data (PBE) for a relaxed ScSiAu3 crystal.

a = 5.0755 Å, b = 5.0755 Å, c = 5.0755 Å
α = 90.00°, β = 90.00°, γ = 90.00°
Closest atoms and distances in Å follow each position.
Space group Pm-3m (No. 221)
Symmetry-distinct sites (fractional):
Sc  0.0000  0.0000  0.0000 x1  6 Au 2.54
Si  0.5000  0.5000  0.5000 x1  12 Au 3.59
Au  0.0000  0.0000  0.5000 x3  2 Sc 2.54

Results
Density in g/cm3: 8.432

---

Which of them is the least stable? Correct choice: #Q.